(1)
# Pm4Si2Cl | the Alexandria database | PBE | relaxed
# Formation energy (no corrections): -0.859 eV per atom
# Relative energy among the computed polymorphs: 0 meV per atom
# Size of the total moment: 0.0 μB per cell
data_Pm4Si2Cl
_symmetry_space_group_name_H-M 'I -4 2 d'
_symmetry_Int_Tables_number 122
_symmetry_space_group_name_Hall 'I -4 2bw'
_cell_length_a 8.814
_cell_length_b 8.814
_cell_length_c 9.223
_cell_angle_alpha 90.00
_cell_angle_beta 90.00
_cell_angle_gamma 90.00
loop_
_atom_site_label
_atom_site_type_symbol
_atom_site_fract_x
_atom_site_fract_y
_atom_site_fract_z
Pm1 Pm 0.074 0.189 0.319
Si1 Si 0.123 0.250 0.625
Cl1 Cl 0.000 0.000 0.000



(2)
# Pm6SiCl8 | the Alexandria database | PBE | relaxed
# Formation energy (no corrections): -1.726 eV per atom
# Size of the total moment: 0.0 μB per cell
data_Pm6SiCl8
_symmetry_space_group_name_H-M 'R -3'
_symmetry_Int_Tables_number 148
_symmetry_space_group_name_Hall '-R 3'
_cell_length_a 7.0990
_cell_length_b 7.0990
_cell_length_c 30.3934
_cell_angle_alpha 90.00
_cell_angle_beta 90.00
_cell_angle_gamma 120.00
loop_
_atom_site_label
_atom_site_type_symbol
_atom_site_fract_x
_atom_site_fract_y
_atom_site_fract_z
Pm1 Pm 0.0000 0.3103 0.4464
Si1 Si 0.0000 0.0000 0.5000
Cl1 Cl 0.0000 0.0000 0.1667
Cl2 Cl 0.0000 0.3375 0.6071



(3)
# Pm2SiCl | the Alexandria database | PBE | relaxed
# Formation energy (no corrections): -0.947 eV per atom
# Relative energy among the computed polymorphs: 233 meV per atom
# Size of the total moment: 0.0 μB per cell
data_Pm2SiCl
_symmetry_space_group_name_H-M 'F m -3 m'
_symmetry_Int_Tables_number 225
_symmetry_space_group_name_Hall '-F 4 2 3'
_cell_length_a 7.253
_cell_length_b 7.253
_cell_length_c 7.253
_cell_angle_alpha 90.00
_cell_angle_beta 90.00
_cell_angle_gamma 90.00
loop_
_atom_site_label
_atom_site_type_symbol
_atom_site_fract_x
_atom_site_fract_y
_atom_site_fract_z
Pm1 Pm 0.250 0.250 0.250
Si1 Si 0.000 0.000 0.000
Cl1 Cl 0.000 0.000 0.500



(4)
# Pm2SiCl | the Alexandria database | PBE | relaxed
# Formation energy (no corrections): -0.936 eV per atom
# Relative energy among the computed polymorphs: 244 meV per atom
# Size of the total moment: 0.0 μB per cell
data_Pm2SiCl
_symmetry_space_group_name_H-M 'P 4/m m m'
_symmetry_Int_Tables_number 123
_symmetry_space_group_name_Hall '-P 4 2'
_cell_length_a 3.456
_cell_length_b 3.456
_cell_length_c 7.862
_cell_angle_alpha 90.00
_cell_angle_beta 90.00
_cell_angle_gamma 90.00
loop_
_atom_site_label
_atom_site_type_symbol
_atom_site_fract_x
_atom_site_fract_y
_atom_site_fract_z
Pm1 Pm 0.000 0.000 0.232
Si1 Si 0.500 0.500 0.000
Cl1 Cl 0.500 0.500 0.500



(5)
# Pm4Si2Cl | the Alexandria database | PBE | relaxed
# Formation energy (no corrections): -0.673 eV per atom
# Relative energy among the computed polymorphs: 186 meV per atom
# Size of the total moment: 0.0 μB per cell
data_Pm4Si2Cl
_symmetry_space_group_name_H-M 'P 1 21/m 1'
_symmetry_Int_Tables_number 11
_cell_length_a 6.836
_cell_length_b 6.774
_cell_length_c 8.891
_cell_angle_alpha 90.00
_cell_angle_beta 108.63
_cell_angle_gamma 90.00
loop_
_symmetry_equiv_pos_as_xyz
'x,y,z'
'-x,-y,-z'
'-x,y+1/2,-z'
'x,-y+1/2,z'
loop_
_atom_site_label
_atom_site_type_symbol
_atom_site_fract_x
_atom_site_fract_y
_atom_site_fract_z
Pm1 Pm 0.022 0.004 0.248
Pm2 Pm 0.457 0.250 0.145
Pm3 Pm 0.457 0.250 0.571
Si1 Si 0.189 0.750 0.551
Si2 Si 0.201 0.750 0.048
Cl1 Cl 0.315 0.250 0.823



(6)
# Pm2SiCl | the Alexandria database | PBE | relaxed
# Formation energy (no corrections): -1.041 eV per atom
# Relative energy among the computed polymorphs: 140 meV per atom
# Size of the total moment: 0.0 μB per cell
data_Pm2SiCl
_symmetry_space_group_name_H-M 'P m m n'
_symmetry_Int_Tables_number 59
_cell_length_a 4.191
_cell_length_b 7.242
_cell_length_c 7.216
_cell_angle_alpha 90.00
_cell_angle_beta 90.00
_cell_angle_gamma 90.00
loop_
_symmetry_equiv_pos_as_xyz
'x,y,z'
'-x,-y,-z'
'-x+1/2,-y+1/2,z'
'x+1/2,y+1/2,-z'
'x+1/2,-y,-z'
'-x+1/2,y,z'
'-x,y+1/2,-z'
'x,-y+1/2,z'
loop_
_atom_site_label
_atom_site_type_symbol
_atom_site_fract_x
_atom_site_fract_y
_atom_site_fract_z
Pm1 Pm 0.250 0.003 0.226
Si1 Si 0.250 0.750 0.907
Cl1 Cl 0.250 0.250 0.580



(7)
# Pm5SiCl5 | the Alexandria database | PBE | relaxed
# Formation energy (no corrections): -1.488 eV per atom
# Size of the total moment: 0.0 μB per cell
data_Pm5SiCl5
_symmetry_space_group_name_H-M 'C 1 2/m 1'
_symmetry_Int_Tables_number 12
_cell_length_a 12.667
_cell_length_b 5.712
_cell_length_c 8.278
_cell_angle_alpha 90.00
_cell_angle_beta 108.09
_cell_angle_gamma 90.00
loop_
_symmetry_equiv_pos_as_xyz
'x,y,z'
'-x,-y,-z'
'-x,y,-z'
'x,-y,z'
'x+1/2,y+1/2,z'
'-x+1/2,-y+1/2,-z'
'-x+1/2,y+1/2,-z'
'x+1/2,-y+1/2,z'
loop_
_atom_site_label
_atom_site_type_symbol
_atom_site_fract_x
_atom_site_fract_y
_atom_site_fract_z
Pm1 Pm 0.000 0.000 0.000
Pm2 Pm 0.158 0.500 0.310
Pm3 Pm 0.173 0.500 0.859
Si1 Si 0.000 0.500 0.000
Cl1 Cl 0.000 0.500 0.500
Cl2 Cl 0.151 0.000 0.798
Cl3 Cl 0.160 0.000 0.350



(8)
# Pm2SiCl2 | the Alexandria database | PBE | relaxed
# Formation energy (no corrections): -1.406 eV per atom
# Relative energy among the computed polymorphs: 163 meV per atom
# Size of the total moment: 0.0 μB per cell
data_Pm2SiCl2
_symmetry_space_group_name_H-M 'P 1 21/c 1'
_symmetry_Int_Tables_number 14
_cell_length_a 10.631
_cell_length_b 8.179
_cell_length_c 7.228
_cell_angle_alpha 90.00
_cell_angle_beta 108.97
_cell_angle_gamma 90.00
loop_
_symmetry_equiv_pos_as_xyz
'x,y,z'
'-x,-y,-z'
'-x,y+1/2,-z+1/2'
'x,-y+1/2,z+1/2'
loop_
_atom_site_label
_atom_site_type_symbol
_atom_site_fract_x
_atom_site_fract_y
_atom_site_fract_z
Pm1 Pm 0.004 0.129 0.268
Pm2 Pm 0.335 0.121 0.080
Si1 Si 0.171 0.130 0.673
Cl1 Cl 0.160 0.617 0.652
Cl2 Cl 0.469 0.709 0.590



(9)
# Pm3SiCl3 | the Alexandria database | PBE | relaxed
# Formation energy (no corrections): -1.626 eV per atom
# Relative energy among the computed polymorphs: 0 meV per atom
# Size of the total moment: 0.0 μB per cell
data_Pm3SiCl3
_symmetry_space_group_name_H-M 'I 41 3 2'
_symmetry_Int_Tables_number 214
_symmetry_space_group_name_Hall 'I 4bd 2c 3'
_cell_length_a 11.631
_cell_length_b 11.631
_cell_length_c 11.631
_cell_angle_alpha 90.00
_cell_angle_beta 90.00
_cell_angle_gamma 90.00
loop_
_atom_site_label
_atom_site_type_symbol
_atom_site_fract_x
_atom_site_fract_y
_atom_site_fract_z
Pm1 Pm 0.118 0.368 0.125
Si1 Si 0.125 0.125 0.125
Cl1 Cl 0.124 0.126 0.625



(10)
# Pm3Si2Cl2 | the Alexandria database | PBE | relaxed
# Formation energy (no corrections): -1.059 eV per atom
# Size of the total moment: 0.0 μB per cell
data_Pm3Si2Cl2
_symmetry_space_group_name_H-M 'C 1 2/m 1'
_symmetry_Int_Tables_number 12
_cell_length_a 13.958
_cell_length_b 4.128
_cell_length_c 7.680
_cell_angle_alpha 90.00
_cell_angle_beta 106.26
_cell_angle_gamma 90.00
loop_
_symmetry_equiv_pos_as_xyz
'x,y,z'
'-x,-y,-z'
'-x,y,-z'
'x,-y,z'
'x+1/2,y+1/2,z'
'-x+1/2,-y+1/2,-z'
'-x+1/2,y+1/2,-z'
'x+1/2,-y+1/2,z'
loop_
_atom_site_label
_atom_site_type_symbol
_atom_site_fract_x
_atom_site_fract_y
_atom_site_fract_z
Pm1 Pm 0.000 0.000 0.000
Pm2 Pm 0.234 0.000 0.762
Si1 Si 0.118 0.500 0.884
Cl1 Cl 0.150 0.000 0.360



(11)
# Pm4SiTe2Cl2 | the Alexandria database | PBE | relaxed
# Formation energy (no corrections): -1.405 eV per atom
# Size of the total moment: 0.0 μB per cell
data_Pm4SiTe2Cl2
_symmetry_space_group_name_H-M 'C 1 2/m 1'
_symmetry_Int_Tables_number 12
_cell_length_a 16.440
_cell_length_b 4.281
_cell_length_c 8.692
_cell_angle_alpha 90.00
_cell_angle_beta 115.96
_cell_angle_gamma 90.00
loop_
_symmetry_equiv_pos_as_xyz
'x,y,z'
'-x,-y,-z'
'-x,y,-z'
'x,-y,z'
'x+1/2,y+1/2,z'
'-x+1/2,-y+1/2,-z'
'-x+1/2,y+1/2,-z'
'x+1/2,-y+1/2,z'
loop_
_atom_site_label
_atom_site_type_symbol
_atom_site_fract_x
_atom_site_fract_y
_atom_site_fract_z
Pm1 Pm 0.018 0.000 0.297
Pm2 Pm 0.197 0.500 0.694
Si1 Si 0.000 0.500 0.500
Te1 Te 0.157 0.500 0.285
Cl1 Cl 0.166 0.000 0.904



(12)
# Pm8Si3Te4Cl | the Alexandria database | PBE | relaxed
# Formation energy (no corrections): -1.241 eV per atom
# Size of the total moment: 0.0 μB per cell
data_Pm8Si3Te4Cl
_symmetry_space_group_name_H-M 'R -3 m'
_symmetry_Int_Tables_number 166
_symmetry_space_group_name_Hall '-R 3 2"'
_cell_length_a 8.6176
_cell_length_b 8.6176
_cell_length_c 21.7546
_cell_angle_alpha 90.00
_cell_angle_beta 90.00
_cell_angle_gamma 120.00
loop_
_atom_site_label
_atom_site_type_symbol
_atom_site_fract_x
_atom_site_fract_y
_atom_site_fract_z
Pm1 Pm 0.0000 0.0000 0.2408
Pm2 Pm 0.0126 0.5063 0.7591
Si1 Si 0.0000 0.5000 0.5000
Te1 Te 0.0000 0.0000 0.0000
Te2 Te 0.0000 0.5000 0.0000
Cl1 Cl 0.0000 0.0000 0.5000